Record 1
Material: Tb3Nd2ThS6
Method: DFT, PBE
State: relaxed

a = 3.9773 Å, b = 8.0273 Å, c = 8.9608 Å
α = 103.94°, β = 102.82°, γ = 90.00°
Atoms (fractional coordinates):
Th: 0.5000 0.0000 0.0000
S: 0.0037 0.7432 0.0074
S: 0.6697 0.0756 0.3394
S: 0.6647 0.5910 0.3294
S: 0.3353 0.4090 0.6706
S: 0.3303 0.9244 0.6606
S: 0.9963 0.2568 0.9926
Tb: 0.5000 0.5000 0.0000
Tb: 0.8334 0.1654 0.6667
Tb: 0.1666 0.8346 0.3333
Nd: 0.1651 0.3305 0.3302
Nd: 0.8349 0.6695 0.6698

Calculated values
Energy relative to the elements, uncorrected: -1.980 eV per atom

---

Record 2
Material: Tb3Nd4ThS8
Method: DFT, PBE
State: relaxed

a = 8.0206 Å, b = 8.0389 Å, c = 8.0207 Å
α = 119.93°, β = 120.00°, γ = 90.00°
Atoms (fractional coordinates):
Nd: 0.5000 0.0000 0.5000
Nd: 0.0000 0.0000 0.0000
Nd: 0.5000 0.0000 0.0000
Nd: 0.0000 0.0000 0.5000
Th: 0.0000 0.5000 0.0000
Tb: 0.5000 0.5000 0.0000
Tb: 0.5000 0.5000 0.5000
Tb: 0.0000 0.5000 0.5000
S: 0.7511 0.2602 0.0092
S: 0.2546 0.2638 0.5092
S: 0.7419 0.7398 0.9908
S: 0.2489 0.7398 0.9908
S: 0.7454 0.7362 0.4908
S: 0.2489 0.7398 0.4979
S: 0.7511 0.2602 0.5021
S: 0.2581 0.2602 0.0092

Calculated values
Energy relative to the elements, uncorrected: -1.990 eV per atom

---

Record 3
Material: TbNd3Tl4S8
Method: DFT, PBE
State: relaxed

a = 8.3008 Å, b = 8.9035 Å, c = 8.3012 Å
α = 117.79°, β = 120.00°, γ = 90.00°
Atoms (fractional coordinates):
S: 0.7351 0.7051 0.4702
S: 0.7409 0.7021 0.9715
S: 0.7693 0.2979 0.0285
S: 0.2591 0.2979 0.0285
S: 0.2307 0.7021 0.4614
S: 0.2307 0.7021 0.9715
S: 0.7693 0.2979 0.5386
S: 0.2649 0.2949 0.5298
Nd: 0.0000 0.5000 0.5000
Nd: 0.5000 0.5000 0.0000
Nd: 0.5000 0.5000 0.5000
Tb: 0.0000 0.5000 0.0000
Tl: 0.5000 0.0000 0.0000
Tl: 0.0000 0.0000 0.5000
Tl: 0.0000 0.0000 0.0000
Tl: 0.5000 0.0000 0.5000

Calculated values
Energy relative to the elements, uncorrected: -1.460 eV per atom

---

Record 4
Material: Tb2NdTl3S6
Method: DFT, PBE
State: relaxed

a = 7.0938 Å, b = 7.0938 Å, c = 7.8729 Å
α = 98.63°, β = 98.63°, γ = 119.99°
Atoms (fractional coordinates):
S: 0.7255 0.7255 0.1995
S: 0.2745 0.2745 0.8005
S: 0.0670 0.4080 0.2010
S: 0.5920 0.9330 0.7990
S: 0.9330 0.5920 0.7990
S: 0.4080 0.0670 0.2010
Tl: 0.1659 0.8341 0.5000
Tl: 0.5000 0.5000 0.5000
Tl: 0.8341 0.1659 0.5000
Tb: 0.6666 0.3334 0.0000
Tb: 0.3334 0.6666 0.0000
Nd: 0.0000 0.0000 0.0000

Calculated values
Energy relative to the elements, uncorrected: -1.476 eV per atom